(1)
Density functional theory data (PBE) for a relaxed structure of ZrCr3N.

Output
Energy above the lowest structure with this stoichiometry   0.0 meV per atom
V   12.44 A^3/atom
Energy   -9.3313 eV/atom

Cell: 3.9622 3.9622 3.9622 Å, 90.00 90.00 90.00°
Positions (direct):
Zr 0.0000 0.0000 0.0000
Cr 0.0000 0.5000 0.5000
Cr 0.5000 0.0000 0.5000
Cr 0.5000 0.5000 0.0000
N 0.5000 0.5000 0.5000


(2)
Density functional theory data (PBE) for a relaxed structure of AuCl3.

Output
V   26.09 A^3/atom
Energy   -1.9448 eV/atom

Cell: 15.3410 15.3410 15.3410 Å, 166.09 166.09 19.72°
Positions (direct):
Au 0.1244 0.1244 0.0000
Au 0.8756 0.8756 0.0000
Cl 0.0000 0.5000 0.5000
Cl 0.2500 0.7500 0.5000
Cl 0.3755 0.3755 0.0000
Cl 0.5000 0.0000 0.5000
Cl 0.6245 0.6245 0.0000
Cl 0.7500 0.2500 0.5000


(3)
Density functional theory data (PBE) for a relaxed structure of ZrWBr2.

Output
Energy above the lowest structure with this stoichiometry   294.8 meV per atom
V   28.48 A^3/atom
Energy   -5.9851 eV/atom

Cell: 5.0927 5.0927 7.2901 Å, 97.67 97.67 37.49°
Positions (direct):
Zr 0.0000 0.0000 0.0000
W 0.7190 0.7190 0.9435
Br 0.1245 0.1245 0.6782
Br 0.3445 0.3445 0.2370


(4)
Density functional theory data (PBE) for a relaxed structure of Gd3Ge5Se12.

Output
V   26.41 A^3/atom
Energy   -6.1634 eV/atom

Cell: 14.0007 14.0007 14.0007 Å, 109.47 109.47 109.47°
Positions (direct):
Gd 0.1250 0.2500 0.3750
Gd 0.1250 0.3750 0.7500
Gd 0.2500 0.3750 0.1250
Gd 0.2500 0.8750 0.6250
Gd 0.3750 0.1250 0.2500
Gd 0.3750 0.7500 0.1250
Gd 0.6250 0.2500 0.8750
Gd 0.6250 0.8750 0.7500
Gd 0.7500 0.1250 0.3750
Gd 0.7500 0.6250 0.8750
Gd 0.8750 0.6250 0.2500
Gd 0.8750 0.7500 0.6250
Ge 0.0000 0.0000 0.0000
Ge 0.0000 0.0000 0.5000
Ge 0.0000 0.5000 0.0000
Ge 0.0000 0.5000 0.5000
Ge 0.1250 0.7500 0.8750
Ge 0.1250 0.8750 0.2500
Ge 0.2500 0.1250 0.8750
Ge 0.2500 0.6250 0.3750
Ge 0.3750 0.2500 0.6250
Ge 0.3750 0.6250 0.7500
Ge 0.5000 0.0000 0.0000
Ge 0.5000 0.0000 0.5000
Ge 0.5000 0.5000 0.0000
Ge 0.5000 0.5000 0.5000
Ge 0.6250 0.3750 0.2500
Ge 0.6250 0.7500 0.3750
Ge 0.7500 0.3750 0.6250
Ge 0.7500 0.8750 0.1250
Ge 0.8750 0.1250 0.7500
Ge 0.8750 0.2500 0.1250
Se 0.0385 0.2169 0.1302
Se 0.0385 0.3216 0.9084
Se 0.0868 0.7169 0.6784
Se 0.0868 0.8698 0.4084
Se 0.0916 0.6302 0.4132
Se 0.0916 0.9615 0.6784
Se 0.1302 0.0385 0.2169
Se 0.1302 0.5916 0.9132
Se 0.1784 0.2169 0.5868
Se 0.1784 0.4615 0.5916
Se 0.2169 0.1302 0.0385
Se 0.2169 0.5868 0.1784
Se 0.2831 0.3216 0.9132
Se 0.2831 0.4615 0.3698
Se 0.3216 0.9084 0.0385
Se 0.3216 0.9132 0.2831
Se 0.3698 0.2831 0.4615
Se 0.3698 0.5868 0.9084
Se 0.4084 0.0868 0.8698
Se 0.4084 0.8216 0.5385
Se 0.4132 0.0916 0.6302
Se 0.4132 0.8216 0.7831
Se 0.4615 0.3698 0.2831
Se 0.4615 0.5916 0.1784
Se 0.5385 0.4084 0.8216
Se 0.5385 0.6302 0.7169
Se 0.5868 0.1784 0.2169
Se 0.5868 0.9084 0.3698
Se 0.5916 0.1784 0.4615
Se 0.5916 0.9132 0.1302
Se 0.6302 0.4132 0.0916
Se 0.6302 0.7169 0.5385
Se 0.6784 0.0868 0.7169
Se 0.6784 0.0916 0.9615
Se 0.7169 0.5385 0.6302
Se 0.7169 0.6784 0.0868
Se 0.7831 0.4132 0.8216
Se 0.7831 0.8698 0.9615
Se 0.8216 0.5385 0.4084
Se 0.8216 0.7831 0.4132
Se 0.8698 0.4084 0.0868
Se 0.8698 0.9615 0.7831
Se 0.9084 0.0385 0.3216
Se 0.9084 0.3698 0.5868
Se 0.9132 0.1302 0.5916
Se 0.9132 0.2831 0.3216
Se 0.9615 0.6784 0.0916
Se 0.9615 0.7831 0.8698


(5)
Density functional theory data (PBE) for a relaxed structure of ScTlSn2.

Output
Energy above the lowest structure with this stoichiometry   192.4 meV per atom
Formation energy   -0.021 eV/atom
V   26.68 A^3/atom
Energy   -4.1971 eV/atom

Cell: 5.3244 5.3244 5.3244 Å, 60.00 60.00 60.00°
Positions (direct):
Sc 0.0000 0.0000 0.0000
Tl 0.5000 0.5000 0.5000
Sn 0.2500 0.2500 0.2500
Sn 0.7500 0.7500 0.7500


(6)
Density functional theory data (PBE) for a relaxed structure of Sc3ZnN.

Output
V   18.90 A^3/atom
Energy   -6.4163 eV/atom

Cell: 6.1717 6.1717 9.4958 Å, 99.00 99.00 31.98°
Positions (direct):
Sc 0.0029 0.0029 0.2358
Sc 0.2545 0.2545 0.1947
Sc 0.3578 0.3578 0.5065
Sc 0.6422 0.6422 0.4935
Sc 0.7455 0.7455 0.8053
Sc 0.9971 0.9971 0.7642
Zn 0.3961 0.3961 0.9885
Zn 0.6039 0.6039 0.0115
N 0.1764 0.1764 0.3760
N 0.8236 0.8236 0.6240


Please write out number 2 again, unchanged.
Density functional theory data (PBE) for a relaxed structure of AuCl3.

Output
V   26.09 A^3/atom
Energy   -1.9448 eV/atom

Cell: 15.3410 15.3410 15.3410 Å, 166.09 166.09 19.72°
Positions (direct):
Au 0.1244 0.1244 0.0000
Au 0.8756 0.8756 0.0000
Cl 0.0000 0.5000 0.5000
Cl 0.2500 0.7500 0.5000
Cl 0.3755 0.3755 0.0000
Cl 0.5000 0.0000 0.5000
Cl 0.6245 0.6245 0.0000
Cl 0.7500 0.2500 0.5000


Which of these has the highest V?
ZrWBr2


What is the energy in the sixth record?
-6.4163 eV/atom